# 1
CsNb2Ni after structural relaxation. Source: the Alexandria database, functional PBE.

Output
Crystal system: cubic
Total DFT energy (no corrections): -5.25 eV/atom
D(E_F): 5.548 states/eV/f.u.
Magnetization: 0.00 μB/cell
Calculated formation energy: 1.443 eV/atom

Cell: 4.727 4.727 4.727 Å, 60.00 60.00 60.00°
Sites, in units of the cell vectors:
Nb (0.250, 0.250, 0.250)
Nb (0.750, 0.750, 0.750)
Cs (0.500, 0.500, 0.500)
Ni (0.000, 0.000, 0.000)


# 2
CsNb2Ni after structural relaxation. Source: the Alexandria database, functional PBE.

Output
Crystal system: tetragonal
Total DFT energy (no corrections): -5.19 eV/atom
D(E_F): 6.334 states/eV/f.u.
Magnetization: 0.00 μB/cell
Calculated formation energy: 1.506 eV/atom

Cell: 4.552 4.552 10.229 Å, 77.14 77.14 90.00°
Sites, in units of the cell vectors:
Nb (0.375, 0.511, 0.750)
Nb (0.875, 0.739, 0.750)
Nb (0.489, 0.125, 0.250)
Nb (0.261, 0.625, 0.250)
Ni (0.250, 0.750, 0.500)
Ni (0.500, 0.500, 0.000)
Cs (0.750, 0.250, 0.500)
Cs (0.000, 0.000, 0.000)


# 3
CsNbNi2 after structural relaxation. Source: the Alexandria database, functional PBE.

Output
Crystal system: tetragonal
Total DFT energy (no corrections): -4.50 eV/atom
D(E_F): 4.937 states/eV/f.u.
Magnetization: 0.00 μB/cell
Calculated formation energy: 1.117 eV/atom

Cell: 7.353 7.353 6.446 Å, 55.23 55.23 90.00°
Sites, in units of the cell vectors:
Ni (0.875, 0.787, 0.750)
Ni (0.375, 0.463, 0.750)
Ni (0.537, 0.125, 0.250)
Ni (0.213, 0.625, 0.250)
Cs (0.000, 0.000, 0.000)
Cs (0.750, 0.250, 0.500)
Nb (0.500, 0.500, 0.000)
Nb (0.250, 0.750, 0.500)


# 4
CsRbNbNi2 after structural relaxation. Source: the Alexandria database, functional PBE.

Output
Crystal system: tetragonal
Total DFT energy (no corrections): -3.57 eV/atom
D(E_F): 4.795 states/eV/f.u.
Magnetization: 0.64 μB/cell
Calculated formation energy: 1.120 eV/atom

Cell: 4.858 6.140 4.858 Å, 90.00 90.00 90.00°
Each line ends with the local moment (μB).
Sites, in units of the cell vectors:
Rb (0.000, 0.500, 0.000)  0.03
Nb (0.000, 0.000, 0.000)  0.48
Cs (0.500, 0.500, 0.500)  0.00
Ni (0.000, 0.000, 0.500)  0.01
Ni (0.500, 0.000, 0.000)  0.01


# 5
CsNbNiSe3 after structural relaxation. Source: the Alexandria database, functional PBE.

Output
Energy relative to the elements, uncorrected: -853 meV per atom
Crystal system: monoclinic
Total DFT energy (no corrections): -5.38 eV/atom
D(E_F): 0.618 states/eV/f.u.
Magnetization: 0.00 μB/cell

Cell: 3.746 9.357 10.189 Å, 118.87 90.00 90.00°
Sites, in units of the cell vectors:
Se (0.250, 0.521, 0.869)
Se (0.250, 0.791, 0.452)
Se (0.750, 0.209, 0.548)
Se (0.750, 0.479, 0.131)
Se (0.750, 0.885, 0.146)
Se (0.250, 0.115, 0.854)
Nb (0.250, 0.708, 0.177)
Nb (0.750, 0.292, 0.823)
Ni (0.750, 0.910, 0.390)
Ni (0.250, 0.090, 0.610)
Cs (0.250, 0.252, 0.261)
Cs (0.750, 0.748, 0.739)


# 6
CsNbSi2Ni after structural relaxation. Source: the Alexandria database, functional PBE.

Output
Energy relative to the elements, uncorrected: 1206 meV per atom
Crystal system: tetragonal
Total DFT energy (no corrections): -4.30 eV/atom
D(E_F): 5.530 states/eV/f.u.
Magnetization: 3.30 μB/cell

Cell: 4.491 5.634 4.491 Å, 90.00 90.00 90.00°
Each line ends with the local moment (μB).
Sites, in units of the cell vectors:
Si (0.000, 0.000, 0.500)  -0.04
Si (0.500, 0.000, 0.000)  -0.02
Cs (0.000, 0.500, 0.000)  0.08
Ni (0.000, 0.000, 0.000)  0.03
Nb (0.500, 0.500, 0.500)  2.57


# 7
CsNbNi2Te after structural relaxation. Source: the Alexandria database, functional PBE.

Output
Energy relative to the elements, uncorrected: 1449 meV per atom
Crystal system: tetragonal
Total DFT energy (no corrections): -3.68 eV/atom
D(E_F): 5.569 states/eV/f.u.
Magnetization: 4.11 μB/cell

Cell: 4.807 6.701 4.807 Å, 90.00 90.00 90.00°
Each line ends with the local moment (μB).
Sites, in units of the cell vectors:
Nb (0.500, 0.500, 0.500)  3.18
Ni (0.000, 0.000, 0.500)  -0.26
Ni (0.500, 0.000, 0.000)  -0.32
Te (0.000, 0.000, 0.000)  -0.02
Cs (0.000, 0.500, 0.000)  0.12


# 8
CsNbNiTe3 after structural relaxation. Source: the Alexandria database, functional PBE.

Output
Energy relative to the elements, uncorrected: -567 meV per atom
Crystal system: monoclinic
Total DFT energy (no corrections): -4.92 eV/atom
D(E_F): 1.328 states/eV/f.u.
Magnetization: 0.00 μB/cell

Cell: 3.918 10.107 10.975 Å, 120.49 90.00 90.00°
Sites, in units of the cell vectors:
Te (0.250, 0.105, 0.845)
Te (0.750, 0.895, 0.155)
Te (0.250, 0.523, 0.874)
Te (0.750, 0.477, 0.126)
Te (0.750, 0.210, 0.543)
Te (0.250, 0.790, 0.457)
Ni (0.750, 0.911, 0.395)
Ni (0.250, 0.089, 0.605)
Nb (0.250, 0.716, 0.184)
Nb (0.750, 0.284, 0.816)
Cs (0.750, 0.739, 0.739)
Cs (0.250, 0.261, 0.261)


# 9
CsNpNb2O8 after structural relaxation. Source: the Alexandria database, functional PBE.

Output
Energy relative to the elements, uncorrected: -2571 meV per atom
Crystal system: trigonal
Total DFT energy (no corrections): -8.70 eV/atom
D(E_F): 7.629 states/eV/f.u.
Magnetization: 2.00 μB/cell

Cell: 6.127 6.127 8.426 Å, 90.00 90.00 120.00°
Each line ends with the local moment (μB).
Sites, in units of the cell vectors:
Nb (0.333, 0.667, 0.721)  0.01
Nb (0.667, 0.333, 0.279)  0.01
O (0.163, 0.839, 0.651)  -0.04
O (0.324, 0.163, 0.349)  -0.04
O (0.333, 0.667, 0.932)  -0.01
O (0.837, 0.161, 0.349)  -0.04
O (0.839, 0.676, 0.349)  -0.04
O (0.161, 0.324, 0.651)  -0.04
O (0.667, 0.333, 0.068)  -0.01
O (0.676, 0.837, 0.651)  -0.04
Cs (0.000, 0.000, 0.000)  0.00
Np (0.000, 0.000, 0.500)  2.18


# 10
Cs2NpNbO6 after structural relaxation. Source: the Alexandria database, functional PBE.

Output
Energy relative to the elements, uncorrected: -2402 meV per atom
Crystal system: trigonal
Total DFT energy (no corrections): -7.85 eV/atom
D(E_F): 6.562 states/eV/f.u.
Magnetization: 4.00 μB/cell

Cell: 6.331 6.331 10.815 Å, 72.98 72.98 60.00°
Each line ends with the local moment (μB).
Sites, in units of the cell vectors:
Np (0.403, 0.403, 0.790)  2.19
Np (0.597, 0.597, 0.210)  2.19
O (0.195, 0.195, 0.889)  -0.06
O (0.408, 0.818, 0.366)  -0.04
O (0.805, 0.805, 0.111)  -0.06
O (0.408, 0.408, 0.366)  -0.04
O (0.722, 0.195, 0.889)  -0.06
O (0.592, 0.592, 0.634)  -0.04
O (0.195, 0.722, 0.889)  -0.06
O (0.592, 0.182, 0.634)  -0.04
O (0.278, 0.805, 0.111)  -0.06
O (0.818, 0.408, 0.366)  -0.04
O (0.182, 0.592, 0.634)  -0.04
O (0.805, 0.278, 0.111)  -0.06
Nb (0.000, 0.000, 0.000)  0.11
Nb (0.500, 0.500, 0.500)  0.07
Cs (0.282, 0.282, 0.154)  0.01
Cs (0.718, 0.718, 0.846)  0.01
Cs (0.131, 0.131, 0.606)  0.00
Cs (0.869, 0.869, 0.394)  0.00


# 11
Cs2NpNb3O12 after structural relaxation. Source: the Alexandria database, functional PBE.

Output
Energy relative to the elements, uncorrected: -2498 meV per atom
Crystal system: trigonal
Total DFT energy (no corrections): -8.30 eV/atom
Magnetization: 0.00 μB/cell

Cell: 7.695 7.695 7.695 Å, 58.60 58.60 58.60°
Sites, in units of the cell vectors:
O (0.691, 0.063, 0.691)
O (0.691, 0.691, 0.063)
O (0.063, 0.691, 0.691)
O (0.936, 0.936, 0.314)
O (0.064, 0.686, 0.064)
O (0.686, 0.064, 0.064)
O (0.309, 0.937, 0.309)
O (0.937, 0.309, 0.309)
O (0.314, 0.936, 0.936)
O (0.936, 0.314, 0.936)
O (0.309, 0.309, 0.937)
O (0.064, 0.064, 0.686)
Np (0.000, 0.000, 0.000)
Nb (0.000, 0.000, 0.500)
Nb (0.500, 0.000, 0.000)
Nb (0.000, 0.500, 0.000)
Cs (0.385, 0.385, 0.385)
Cs (0.615, 0.615, 0.615)


# 12
Cs2NpNbS6 after structural relaxation. Source: the Alexandria database, functional PBE.

Output
Energy relative to the elements, uncorrected: -1122 meV per atom
Crystal system: trigonal
Total DFT energy (no corrections): -6.07 eV/atom
D(E_F): 4.482 states/eV/f.u.
Magnetization: 4.01 μB/cell

Cell: 7.384 7.384 12.743 Å, 73.16 73.16 60.00°
Each line ends with the local moment (μB).
Sites, in units of the cell vectors:
S (0.390, 0.848, 0.373)  -0.09
S (0.801, 0.281, 0.118)  -0.10
S (0.610, 0.152, 0.627)  -0.09
S (0.610, 0.610, 0.627)  -0.09
S (0.199, 0.719, 0.882)  -0.10
S (0.152, 0.610, 0.627)  -0.09
S (0.199, 0.199, 0.882)  -0.10
S (0.801, 0.801, 0.118)  -0.10
S (0.390, 0.390, 0.373)  -0.09
S (0.848, 0.390, 0.373)  -0.09
S (0.281, 0.801, 0.118)  -0.10
S (0.719, 0.199, 0.882)  -0.10
Cs (0.289, 0.289, 0.134)  0.00
Cs (0.711, 0.711, 0.866)  0.00
Cs (0.872, 0.872, 0.383)  0.00
Cs (0.128, 0.128, 0.617)  0.00
Nb (0.000, 0.000, 0.000)  0.22
Nb (0.500, 0.500, 0.500)  0.28
Np (0.410, 0.410, 0.770)  2.45
Np (0.590, 0.590, 0.230)  2.45


Ρ list, top to bottom, in g/cm³: 8.394 6.231 5.532 4.912 5.536 4.979 5.049 5.917 4.145 6.502 5.184 4.615